Model a:
Computed, not measured: a crystal of La3Tl relaxed with PBEsol at the SCAN level of DFT.

Properties
SG: Pm-3n, No. 223
D(E_F): 8.3 states/eV/cell
Magnetic moment: 0.30 μB per atom

Cell and atoms, written as POSCAR:
```
La3Tl
1.0
-3.986 -1.829 4.557
4.574 0.750 4.302
-1.785 6.007 0.850
Tl La
2 6
direct
0.000 0.000 0.000
0.500 0.500 0.500
0.250 0.500 0.000
0.000 0.750 0.500
0.500 0.000 0.750
0.750 0.500 0.000
0.500 0.000 0.250
0.000 0.250 0.500
```

Model b:
Computed, not measured: a crystal of La3Tl relaxed with PBEsol at the SCAN level of DFT.

Properties
SG: C2/m, No. 12
D(E_F): 3.7 states/eV/cell
Magnetic moment: 0.00 μB per atom

Cell and atoms, written as POSCAR:
```
La3Tl
1.0
-0.139 -1.903 3.060
3.695 -4.033 -2.340
3.956 4.526 0.870
La Tl
3 1
direct
0.262 0.772 0.525
0.738 0.228 0.475
0.500 0.500 0.000
0.000 0.000 0.000
```

How do the structures above rank in stability at the extremes? model a comes first and model b comes last.